No. 1
Compound: LiAcScGe
Source: the Alexandria database
Functional: PBE
Structure: relaxed

Results
The calculated volume comes out at 24.659 Å³ per atom. As for the energy: -72.168 eV per cell.

a b c (Å): 7.3344 7.3344 7.3344
angles (deg): 90.00 90.00 90.00
With the nearest neighbours (Å) after each atom.
Space group F-43m (No. 216)
Unique sites:
Li1 0.0000 0.0000 0.0000 (multiplicity 4)  4 Ac 3.18, 4 Sc 3.18
Ac1 0.2500 0.2500 0.2500 (multiplicity 4)  4 Ge 3.18, 4 Li 3.18
Sc1 0.2500 0.2500 0.7500 (multiplicity 4)  4 Ge 3.18, 4 Li 3.18
Ge1 0.0000 0.0000 0.5000 (multiplicity 4)  4 Sc 3.18, 4 Ac 3.18

***

No. 2
Compound: LaMn2Al
Source: the Alexandria database
Functional: PBE
Structure: relaxed

Results
The calculated volume comes out at 20.588 Å³ per atom. As for the energy: -104.070 eV per cell.

a b c (Å): 6.9063 6.9063 6.9063
angles (deg): 90.00 90.00 90.00
With the nearest neighbours (Å) after each atom.
Space group F-43m (No. 216)
Unique sites:
La1 0.0000 0.0000 0.0000 (multiplicity 4)  4 Mn 2.99, 4 Al 2.99
Mn1 0.0000 0.0000 0.5000 (multiplicity 4)  4 Mn 2.99, 4 Al 2.99
Mn2 0.2500 0.2500 0.2500 (multiplicity 4)  4 Mn 2.99, 4 La 2.99
Al1 0.2500 0.2500 0.7500 (multiplicity 4)  4 Mn 2.99, 4 La 2.99

***

No. 3
Compound: LaZrCu
Source: the Alexandria database
Functional: PBE
Structure: relaxed

Results
The calculated volume comes out at 23.650 Å³ per atom. Its distance to the lowest polymorph of the same formula is 78 meV/atom. As for the energy: -69.947 eV per cell.

a b c (Å): 11.6182 3.4778 8.5139
angles (deg): 90.00 124.41 90.00
With the nearest neighbours (Å) after each atom.
Space group Cm (No. 8)
Unique sites:
La1 0.0000 0.0000 0.0000 (multiplicity 2)  5 Cu 2.97-3.19
La2 0.2482 0.0000 0.5738 (multiplicity 2)  2 Cu 2.92, 1 Zr 3.26
Zr1 0.0699 0.5000 0.6967 (multiplicity 2)  3 Cu 2.87-3.11
Zr2 0.3477 0.5000 0.3202 (multiplicity 2)  4 Cu 2.75-2.92
Cu1 0.0209 0.5000 0.2972 (multiplicity 2)  1 Cu 2.57, 2 Zr 2.75
Cu2 0.2692 0.0000 0.9985 (multiplicity 2)  1 Cu 2.57, 2 Zr 2.87

***

No. 4
Compound: ZnB3Sb
Source: the Alexandria database
Functional: PBE
Structure: relaxed

Results
The energy relative to the elements, uncorrected comes out at 9.04 eV per formula unit. The calculated volume comes out at 14.437 Å³ per atom. Its distance to the lowest polymorph of the same formula is 0 meV/atom. As for the energy: -16.390 eV per cell.

a b c (Å): 4.1637 4.1637 4.1637
angles (deg): 90.00 90.00 90.00
With the nearest neighbours (Å) after each atom.
Space group Pm-3m (No. 221)
Unique sites:
Zn1 0.0000 0.0000 0.0000 (multiplicity 1)  6 B 2.08
B1 0.0000 0.0000 0.5000 (multiplicity 3)  2 Zn 2.08
Sb1 0.5000 0.5000 0.5000 (multiplicity 1)  12 B 2.94

***

No. 5
Compound: LaPm2ErMg
Source: the Alexandria database
Functional: PBE
Structure: relaxed

Results
The calculated volume comes out at 32.087 Å³ per atom. As for the energy: -40.997 eV per cell.

a b c (Å): 6.3006 5.6900 9.4317
angles (deg): 90.00 108.39 90.00
With the nearest neighbours (Å) after each atom.
Space group P2_1/m (No. 11)
Unique sites:
La1 0.0373 0.2500 0.3874 (multiplicity 2)  1 Er 3.46, 3 Mg 3.52-3.78, 6 Pm 3.54-3.81, 2 La 3.67
Pm1 0.3753 0.7500 0.3921 (multiplicity 2)  5 Pm 3.52-3.70, 1 Er 3.53, 4 La 3.55-3.81, 2 Mg 3.58-3.68
Pm2 0.4549 0.2500 0.1949 (multiplicity 2)  3 Mg 3.46-3.48, 4 Er 3.51-3.68, 3 Pm 3.52-3.70, 2 La 3.54-3.64
Er1 0.1523 0.7500 0.9991 (multiplicity 2)  4 Mg 3.43-3.74, 2 Er 3.43, 1 La 3.46, 5 Pm 3.51-3.68
Mg1 0.2295 0.2500 0.8097 (multiplicity 2)  4 Er 3.43-3.74, 5 Pm 3.46-3.68, 3 La 3.52-3.78

***

No. 6
Compound: CeZrBi2
Source: the Alexandria database
Functional: PBE
Structure: relaxed

Results
The calculated volume comes out at 27.515 Å³ per atom. Its distance to the lowest polymorph of the same formula is 45 meV/atom. As for the energy: -23.843 eV per cell.

a b c (Å): 3.7448 3.7448 7.8481
angles (deg): 90.00 90.00 90.00
With the nearest neighbours (Å) after each atom.
Space group P4/mmm (No. 123)
Unique sites:
Ce1 0.0000 0.0000 0.0000 (multiplicity 1)  8 Bi 3.41, 4 Ce 3.74
Zr1 0.0000 0.0000 0.5000 (multiplicity 1)  8 Bi 3.19
Bi1 0.5000 0.5000 0.2736 (multiplicity 2)  4 Zr 3.19, 4 Ce 3.41, 1 Bi 3.55

***

No. 7
Compound: Er5IrRu4
Source: the Alexandria database
Functional: PBE
Structure: relaxed

Results
The calculated volume comes out at 19.193 Å³ per atom. As for the energy: -73.701 eV per cell.

a b c (Å): 3.3734 3.3734 16.8660
angles (deg): 90.00 90.00 90.00
With the nearest neighbours (Å) after each atom.
Space group P4/mmm (No. 123)
Unique sites:
Er1 0.0000 0.0000 0.0000 (multiplicity 1)  8 Ru 2.92
Er2 0.0000 0.0000 0.1992 (multiplicity 2)  8 Ru 2.92-2.93
Er3 0.0000 0.0000 0.3975 (multiplicity 2)  4 Ru 2.90, 4 Ir 2.95
Ir1 0.5000 0.5000 0.5000 (multiplicity 1)  8 Er 2.95
Ru1 0.5000 0.5000 0.0998 (multiplicity 2)  8 Er 2.92
Ru2 0.5000 0.5000 0.2998 (multiplicity 2)  8 Er 2.90-2.93

***

No. 8
Compound: CsTcS2
Source: the Alexandria database
Functional: PBE
Structure: relaxed

Results
The energy relative to the elements, uncorrected comes out at -2.84 eV per formula unit. The calculated volume comes out at 27.923 Å³ per atom. Its distance to the lowest polymorph of the same formula is 0 meV/atom. As for the energy: -357.010 eV per cell.

a b c (Å): 10.6878 10.6879 15.8729
angles (deg): 90.00 99.73 90.00
With the nearest neighbours (Å) after each atom.
Space group C2/c (No. 15)
Unique sites:
Cs1 0.0411 0.1861 0.4045 (multiplicity 8)  8 S 3.40-3.79, 1 Cs 3.70
Cs2 0.2132 0.4412 0.0935 (multiplicity 8)  8 S 3.39-3.80, 1 Cs 3.70
Tc1 0.0940 0.2008 0.6804 (multiplicity 8)  4 S 2.25-2.37
Tc2 0.1283 0.4229 0.8201 (multiplicity 8)  4 S 2.25-2.37
S1 0.0000 0.0542 0.7500 (multiplicity 4)  2 Tc 2.25
S2 0.0000 0.4304 0.2500 (multiplicity 4)  2 Tc 2.25
S3 0.0405 0.3121 0.9156 (multiplicity 8)  2 Tc 2.25
S4 0.2152 0.0621 0.6099 (multiplicity 8)  2 Tc 2.37
S5 0.2420 0.1889 0.2489 (multiplicity 8)  2 Tc 2.25

***

No. 9
Compound: TbHfGe2O8
Source: the Alexandria database
Functional: PBE
Structure: relaxed

Results
The energy relative to the elements, uncorrected comes out at -28.46 eV per formula unit. The calculated volume comes out at 12.797 Å³ per atom. As for the energy: -183.886 eV per cell.

a b c (Å): 6.9339 6.9339 6.3877
angles (deg): 90.00 90.00 90.00
With the nearest neighbours (Å) after each atom.
Space group I-4m2 (No. 119)
Unique sites:
Tb1 0.0000 0.0000 0.0000 (multiplicity 2)  8 O 2.26-2.45
Hf1 0.0000 0.5000 0.7500 (multiplicity 2)  8 O 2.16-2.30
Ge1 0.0000 0.0000 0.5000 (multiplicity 2)  4 O 1.77
Ge2 0.0000 0.5000 0.2500 (multiplicity 2)  4 O 1.76
O1 0.0000 0.1950 0.6800 (multiplicity 8)  1 Ge 1.77
O2 0.0000 0.3221 0.0534 (multiplicity 8)  1 Ge 1.76

***

No. 10
Compound: TaCr2GaCu
Source: the Alexandria database
Functional: PBE
Structure: relaxed

Results
The calculated volume comes out at 19.554 Å³ per atom. As for the energy: -31.117 eV per cell.

a b c (Å): 4.5023 4.5023 4.8233
angles (deg): 90.00 90.00 90.00
With the nearest neighbours (Å) after each atom.
Space group P4/mmm (No. 123)
Unique sites:
Ta1 0.0000 0.0000 0.0000 (multiplicity 1)  2 Ga 2.41
Cr1 0.0000 0.5000 0.5000 (multiplicity 2)  2 Ga 2.25
Ga1 0.0000 0.0000 0.5000 (multiplicity 1)  4 Cr 2.25, 2 Ta 2.41
Cu1 0.5000 0.5000 0.0000 (multiplicity 1)  4 Ta 3.18, 8 Cr 3.30

***

No. 11
Compound: CeAl2CdAg5
Source: the Alexandria database
Functional: PBE
Structure: relaxed

Results
The calculated volume comes out at 21.270 Å³ per atom. As for the energy: -28.221 eV per cell.

a b c (Å): 4.9663 4.9663 7.7614
angles (deg): 90.00 90.00 90.00
With the nearest neighbours (Å) after each atom.
Space group P4/mmm (No. 123)
Unique sites:
Ce1 0.0000 0.0000 0.0000 (multiplicity 1)  8 Ag 3.12
Al1 0.5000 0.5000 0.3373 (multiplicity 2)  1 Al 2.53, 5 Ag 2.59-2.62
Cd1 0.0000 0.0000 0.5000 (multiplicity 1)  8 Ag 3.18
Ag1 0.0000 0.5000 0.2434 (multiplicity 4)  2 Al 2.59
Ag2 0.5000 0.5000 0.0000 (multiplicity 1)  2 Al 2.62

***

No. 12
Compound: BaBPt2Rh
Source: the Alexandria database
Functional: PBE
Structure: relaxed

Results
The calculated volume comes out at 27.705 Å³ per atom. As for the energy: -21.124 eV per cell.

a b c (Å): 4.8727 4.8727 5.8344
angles (deg): 90.00 90.00 90.00
With the nearest neighbours (Å) after each atom.
Space group P4/mmm (No. 123)
Unique sites:
Ba1 0.0000 0.0000 0.0000 (multiplicity 1)  2 Rh 2.92
B1 0.5000 0.5000 0.0000 (multiplicity 1)  4 Ba 3.45, 8 Pt 3.80
Pt1 0.0000 0.5000 0.5000 (multiplicity 2)  2 Rh 2.44
Rh1 0.0000 0.0000 0.5000 (multiplicity 1)  4 Pt 2.44